First-principles (GGA-PBE) data for a relaxed NaY3Al crystal, as listed in Alexandria via LeMat-Bulk.

abc: 5.422 5.422 5.422
angles: 90.00 90.00 90.00
Last column: magnetic moment on the atom in μB.
Element x y z (fractional)
Y 0.500 0.000 0.000  0.18
Y 0.000 0.000 0.500  0.22
Na 0.000 0.000 0.000  0.04
Al 0.500 0.500 0.500  -0.02
Y 0.000 0.500 0.000  0.24

## Properties
Formation energy, eV/atom: 0.89
Final energy, eV/atom: -3.998
Polymorph energy (0 for the lowest one), meV per atom: 569
Crystal system: cubic